This record from Alexandria describes an optimized crystal structure of Sc3ZnC. The functional is PBE.

Unit cell a=3.8005 b=3.8005 c=7.5372 alpha=90.00 beta=90.00 gamma=90.00
Closest atoms and distances in Å follow each position.
Positions (direct):
Sc  0.0000  0.0000  0.0000  1 Zn 2.84, 4 C 2.89, 4 Sc 3.02
Sc  0.0000  0.5000  0.6883  2 C 2.30
Sc  0.5000  0.0000  0.6883  2 C 2.30
Zn  0.0000  0.0000  0.3773  5 Sc 2.84-3.02
C  0.5000  0.5000  0.8601  4 Sc 2.30

Computed properties:
- ρ (g/cm3) = 3.24
- offset from the most stable computed form (eV per atom) = 0.831
- E_form (eV per formula unit) = 1.968

=====

This record from Alexandria describes an optimized crystal structure of Hf12Mn5Tc3. The functional is PBE.

Unit cell a=13.1382 b=13.1382 c=13.1382 alpha=109.47 beta=109.47 gamma=109.47
Closest atoms and distances in Å follow each position.
Positions (direct):
Hf  0.0510  0.2174  0.1205  2 Mn 2.47-2.50, 1 Tc 2.71
Hf  0.0510  0.3336  0.9305  2 Mn 2.47-2.50, 1 Tc 2.71
Hf  0.0695  0.6205  0.4031  2 Mn 2.47-2.50, 1 Tc 2.71
Hf  0.0695  0.9490  0.6664  2 Mn 2.47-2.50, 1 Tc 2.71
Hf  0.0969  0.7174  0.6664  2 Mn 2.47-2.50, 1 Tc 2.71
Hf  0.0969  0.8795  0.4305  2 Mn 2.47-2.50, 1 Tc 2.71
Hf  0.1205  0.0510  0.2174  2 Mn 2.47-2.50, 1 Tc 2.71
Hf  0.1205  0.5695  0.9031  2 Mn 2.47-2.50, 1 Tc 2.71
Hf  0.1664  0.2174  0.5969  2 Mn 2.47-2.50, 1 Tc 2.71
Hf  0.1664  0.4490  0.5695  2 Mn 2.47-2.50, 1 Tc 2.71
Hf  0.2174  0.1205  0.0510  2 Mn 2.47-2.50, 1 Tc 2.71
Hf  0.2174  0.5969  0.1664  2 Mn 2.47-2.50, 1 Tc 2.71
Hf  0.2826  0.3336  0.9031  2 Mn 2.47-2.50, 1 Tc 2.71
Hf  0.2826  0.4490  0.3795  2 Mn 2.47-2.50, 1 Tc 2.71
Hf  0.3336  0.9031  0.2826  2 Mn 2.47-2.50, 1 Tc 2.71
Hf  0.3336  0.9305  0.0510  2 Mn 2.47-2.50, 1 Tc 2.71
Hf  0.3795  0.2826  0.4490  2 Mn 2.47-2.50, 1 Tc 2.71
Hf  0.3795  0.5969  0.9305  2 Mn 2.47-2.50, 1 Tc 2.71
Hf  0.4031  0.0695  0.6205  2 Mn 2.47-2.50, 1 Tc 2.71
Hf  0.4031  0.8336  0.7826  2 Mn 2.47-2.50, 1 Tc 2.71
Hf  0.4305  0.0969  0.8795  2 Mn 2.47-2.50, 1 Tc 2.71
Hf  0.4305  0.8336  0.5510  2 Mn 2.47-2.50, 1 Tc 2.71
Hf  0.4490  0.3795  0.2826  2 Mn 2.47-2.50, 1 Tc 2.71
Hf  0.4490  0.5695  0.1664  2 Mn 2.47-2.50, 1 Tc 2.71
Hf  0.5510  0.4305  0.8336  2 Mn 2.47-2.50, 1 Tc 2.71
Hf  0.5510  0.6205  0.7174  2 Mn 2.47-2.50, 1 Tc 2.71
Hf  0.5695  0.1664  0.4490  2 Mn 2.47-2.50, 1 Tc 2.71
Hf  0.5695  0.9031  0.1205  2 Mn 2.47-2.50, 1 Tc 2.71
Hf  0.5969  0.1664  0.2174  2 Mn 2.47-2.50, 1 Tc 2.71
Hf  0.5969  0.9305  0.3795  2 Mn 2.47-2.50, 1 Tc 2.71
Hf  0.6205  0.4031  0.0695  2 Mn 2.47-2.50, 1 Tc 2.71
Hf  0.6205  0.7174  0.5510  2 Mn 2.47-2.50, 1 Tc 2.71
Hf  0.6664  0.0695  0.9490  2 Mn 2.47-2.50, 1 Tc 2.71
Hf  0.6664  0.0969  0.7174  2 Mn 2.47-2.50, 1 Tc 2.71
Hf  0.7174  0.5510  0.6205  2 Mn 2.47-2.50, 1 Tc 2.71
Hf  0.7174  0.6664  0.0969  2 Mn 2.47-2.50, 1 Tc 2.71
Hf  0.7826  0.4031  0.8336  2 Mn 2.47-2.50, 1 Tc 2.71
Hf  0.7826  0.8795  0.9490  2 Mn 2.47-2.50, 1 Tc 2.71
Hf  0.8336  0.5510  0.4305  2 Mn 2.47-2.50, 1 Tc 2.71
Hf  0.8336  0.7826  0.4031  2 Mn 2.47-2.50, 1 Tc 2.71
Hf  0.8795  0.4305  0.0969  2 Mn 2.47-2.50, 1 Tc 2.71
Hf  0.8795  0.9490  0.7826  2 Mn 2.47-2.50, 1 Tc 2.71
Hf  0.9031  0.1205  0.5695  2 Mn 2.47-2.50, 1 Tc 2.71
Hf  0.9031  0.2826  0.3336  2 Mn 2.47-2.50, 1 Tc 2.71
Hf  0.9305  0.0510  0.3336  2 Mn 2.47-2.50, 1 Tc 2.71
Hf  0.9305  0.3795  0.5969  2 Mn 2.47-2.50, 1 Tc 2.71
Hf  0.9490  0.6664  0.0695  2 Mn 2.47-2.50, 1 Tc 2.71
Hf  0.9490  0.7826  0.8795  2 Mn 2.47-2.50, 1 Tc 2.71
Mn  0.0000  0.0000  0.0000  6 Hf 2.47
Mn  0.0000  0.0000  0.5000  6 Hf 2.47
Mn  0.0000  0.5000  0.0000  6 Hf 2.47
Mn  0.0000  0.5000  0.5000  6 Hf 2.47
Mn  0.1250  0.7500  0.8750  4 Hf 2.50
Mn  0.1250  0.8750  0.2500  4 Hf 2.50
Mn  0.2500  0.1250  0.8750  4 Hf 2.50
Mn  0.2500  0.6250  0.3750  4 Hf 2.50
Mn  0.3750  0.2500  0.6250  4 Hf 2.50
Mn  0.3750  0.6250  0.7500  4 Hf 2.50
Mn  0.5000  0.0000  0.0000  6 Hf 2.47
Mn  0.5000  0.0000  0.5000  6 Hf 2.47
Mn  0.5000  0.5000  0.0000  6 Hf 2.47
Mn  0.5000  0.5000  0.5000  6 Hf 2.47
Mn  0.6250  0.3750  0.2500  4 Hf 2.50
Mn  0.6250  0.7500  0.3750  4 Hf 2.50
Mn  0.7500  0.3750  0.6250  4 Hf 2.50
Mn  0.7500  0.8750  0.1250  4 Hf 2.50
Mn  0.8750  0.1250  0.7500  4 Hf 2.50
Mn  0.8750  0.2500  0.1250  4 Hf 2.50
Tc  0.1250  0.2500  0.3750  8 Hf 2.71-2.98
Tc  0.1250  0.3750  0.7500  8 Hf 2.71-2.98
Tc  0.2500  0.3750  0.1250  8 Hf 2.71-2.98
Tc  0.2500  0.8750  0.6250  8 Hf 2.71-2.98
Tc  0.3750  0.1250  0.2500  8 Hf 2.71-2.98
Tc  0.3750  0.7500  0.1250  8 Hf 2.71-2.98
Tc  0.6250  0.2500  0.8750  8 Hf 2.71-2.98
Tc  0.6250  0.8750  0.7500  8 Hf 2.71-2.98
Tc  0.7500  0.1250  0.3750  8 Hf 2.71-2.98
Tc  0.7500  0.6250  0.8750  8 Hf 2.71-2.98
Tc  0.8750  0.6250  0.2500  8 Hf 2.71-2.98
Tc  0.8750  0.7500  0.6250  8 Hf 2.71-2.98

Computed properties:
- ρ (g/cm3) = 10.31
- E_form (eV per formula unit) = 14.851

=====

This record from Alexandria describes an optimized crystal structure of ZrCo2Se. The functional is PBE.

Unit cell a=3.5599 b=5.6060 c=5.6060 alpha=34.15 beta=90.00 gamma=90.00
Closest atoms and distances in Å follow each position.
Positions (direct):
Zr  0.0000  0.0000  0.0000  1 Co 2.52, 4 Se 2.71
Co  0.0000  0.2353  0.2353  2 Se 2.41, 1 Zr 2.52, 4 Co 2.57
Co  0.5000  0.6564  0.6564  4 Co 2.57
Se  0.5000  0.3863  0.3863  2 Co 2.41

Computed properties:
- ρ (g/cm3) = 7.62
- uncorrected energy (eV per atom) = -6.77

=====

This record from Alexandria describes an optimized crystal structure of ZrPt5Rh. The functional is PBE.

Unit cell a=6.2577 b=6.2577 c=6.2577 alpha=110.93 beta=89.37 gamma=130.83
Closest atoms and distances in Å follow each position.
Positions (direct):
Zr  0.0000  0.0000  0.0000  6 Pt 2.57-2.74
Pt  0.2987  0.6166  0.3179  4 Pt 2.50-2.58, 1 Zr 2.74, 1 Rh 2.78
Pt  0.2987  0.9807  0.6821  4 Pt 2.50-2.58, 1 Zr 2.74, 1 Rh 2.78
Pt  0.4507  0.7059  0.7448  3 Pt 2.50-2.58, 1 Zr 2.74
Pt  0.5072  0.5072  0.0000  4 Pt 2.50, 2 Zr 2.57-2.64
Pt  0.9612  0.7059  0.2552  3 Pt 2.50-2.58, 1 Zr 2.74
Rh  0.8264  0.3264  0.5000  6 Pt 2.78-3.04

Computed properties:
- ρ (g/cm3) = 11.82
- E_form (eV per formula unit) = 3.588

=====

This record from Alexandria describes an optimized crystal structure of Ho2ErAu. The functional is PBE.

Unit cell a=6.3713 b=6.3713 c=7.8122 alpha=90.00 beta=90.00 gamma=134.91
Closest atoms and distances in Å follow each position.
Positions (direct):
Ho  0.1437  0.8563  0.5363  3 Au 2.86-3.05
Ho  0.1437  0.8563  0.9637  3 Au 2.86-3.05
Ho  0.8563  0.1437  0.0363  3 Au 2.86-3.05
Ho  0.8563  0.1437  0.4637  3 Au 2.86-3.05
Er  0.4577  0.5423  0.7500  1 Au 2.91
Er  0.5423  0.4577  0.2500  1 Au 2.91
Au  0.2952  0.7048  0.2500  6 Ho 2.86-3.05, 1 Er 2.91
Au  0.7048  0.2952  0.7500  6 Ho 2.86-3.05, 1 Er 2.91

Computed properties:
- ρ (g/cm3) = 10.26
- offset from the most stable computed form (eV per atom) = 0.053
- E_form (eV per formula unit) = -1.612

=====

This record from Alexandria describes an optimized crystal structure of Cs2AsSe. The functional is PBE.

Unit cell a=6.1966 b=6.1966 c=6.1966 alpha=60.00 beta=60.00 gamma=60.00
Closest atoms and distances in Å follow each position.
Positions (direct):
Cs  0.2500  0.2500  0.2500  4 Se 3.79, 4 As 3.79
Cs  0.7500  0.7500  0.7500  4 As 3.79, 4 Se 3.79
As  0.0000  0.0000  0.0000  8 Cs 3.79
Se  0.5000  0.5000  0.5000  8 Cs 3.79

Computed properties:
- ρ (g/cm3) = 4.14
- offset from the most stable computed form (eV per atom) = 0.463